No. 1
Entry from Alexandria via LeMat-Bulk: crystalline LaTa2 at its relaxed geometry (PBE-GGA).

The calculation puts the density of states at the Fermi level at 1.020 states/eV per atom. The mass density is 11.62 g cm⁻³. The calculation puts the formation energy at 0.3867 eV/atom. Its crystal system is tetragonal.

It has space group I4/mmm (No. 139), with a = 3.518 Å, b = 3.518 Å, c = 11.569 Å, α = 90.00°, β = 90.00° and γ = 90.00°. The inequivalent atoms are La at (0.000, 0.000, 0.000) and Ta at (0.000, 0.000, 0.303).

***

No. 2
Entry from Alexandria via LeMat-Bulk: crystalline LaTa2 at its relaxed geometry (PBE-GGA).

The calculation puts the density of states at the Fermi level at 1.613 states/eV per atom. The mass density is 10.33 g cm⁻³. The calculation puts the formation energy at 0.8639 eV/atom. Its crystal system is tetragonal.

It has space group P4/mmm (No. 123), with a = 3.823 Å, b = 3.823 Å, c = 5.510 Å, α = 90.00°, β = 90.00° and γ = 90.00°. The inequivalent atoms are La at (0.000, 0.000, 0.000) and Ta at (0.000, 0.500, 0.500).

***

No. 3
Entry from Alexandria via LeMat-Bulk: crystalline La5Ta at its relaxed geometry (PBE-GGA).

The calculation puts the density of states at the Fermi level at 1.425 states/eV per atom. The mass density is 7.56 g cm⁻³. The calculation puts the formation energy at 0.2913 eV/atom. Its crystal system is orthorhombic.

It has space group Amm2 (No. 38), with a = 5.850 Å, b = 3.480 Å, c = 18.886 Å, α = 90.00°, β = 90.00° and γ = 90.00°. The inequivalent atoms are La at (0.000, 0.000, 0.000), La at (0.000, 0.000, 0.296), La at (0.500, 0.000, 0.206), La at (0.500, 0.000, 0.556), La at (0.500, 0.000, 0.888) and Ta at (0.000, 0.000, 0.648).

***

No. 4
Entry from Alexandria via LeMat-Bulk: crystalline LaTa2 at its relaxed geometry (PBE-GGA).

The calculation puts the density of states at the Fermi level at 1.325 states/eV per atom. The mass density is 11.25 g cm⁻³. The calculation puts the formation energy at 0.4347 eV/atom. Its crystal system is orthorhombic.

It has space group Cmcm (No. 63), with a = 11.073 Å, b = 5.364 Å, c = 4.977 Å, α = 90.00°, β = 90.00° and γ = 90.00°. The inequivalent atoms are La at (0.000, 0.210, 0.250) and Ta at (0.208, 0.369, 0.750).

***

No. 5
Entry from Alexandria via LeMat-Bulk: crystalline LaTa3 at its relaxed geometry (PBE-GGA).

The calculation puts the density of states at the Fermi level at 1.173 states/eV per atom. The mass density is 13.14 g cm⁻³. The calculation puts the formation energy at 0.4074 eV/atom. Its crystal system is orthorhombic.

It has space group Cmcm (No. 63), with a = 7.524 Å, b = 9.610 Å, c = 4.765 Å, α = 90.00°, β = 90.00° and γ = 90.00°. The inequivalent atoms are La at (0.000, 0.108, 0.250), Ta at (0.000, 0.374, 0.750) and Ta at (0.200, 0.369, 0.250).

***

No. 6
Entry from Alexandria via LeMat-Bulk: crystalline LaTb2Ta at its relaxed geometry (PBE-GGA).

The calculation puts the density of states at the Fermi level at 1.827 states/eV per atom. The mass density is 9.37 g cm⁻³. The calculation puts the formation energy at 0.6455 eV/atom. Its crystal system is trigonal.

It has space group R-3m (No. 166, hexagonal axes), with a = 3.3025 Å, b = 3.3025 Å, c = 35.8889 Å, α = 90.00°, β = 90.00° and γ = 120.00°. The inequivalent atoms are La at (0.0000, 0.0000, 0.0000), Tb at (0.0000, 0.0000, 0.4188) and Ta at (0.0000, 0.0000, 0.5000).

***

No. 7
Entry from Alexandria via LeMat-Bulk: crystalline LaTaTc2 at its relaxed geometry (PBE-GGA).

The calculation puts the density of states at the Fermi level at 0.659 states/eV per atom. The mass density is 11.18 g cm⁻³. The calculation puts the formation energy at 0.2957 eV/atom. Its crystal system is trigonal.

It has space group R-3m (No. 166, hexagonal axes), with a = 3.1886 Å, b = 3.1886 Å, c = 26.1109 Å, α = 90.00°, β = 90.00° and γ = 120.00°. The inequivalent atoms are La at (0.0000, 0.0000, 0.0000), Ta at (0.0000, 0.0000, 0.5000) and Tc at (0.0000, 0.0000, 0.2409).

***

No. 8
Entry from Alexandria via LeMat-Bulk: crystalline LaTa2Tc at its relaxed geometry (PBE-GGA).

The calculation puts the density of states at the Fermi level at 1.001 states/eV per atom. The mass density is 11.95 g cm⁻³. The calculation puts the formation energy at 0.1423 eV/atom. Its crystal system is tetragonal.

It has space group P4mm (No. 99), with a = 3.214 Å, b = 3.214 Å, c = 8.053 Å, α = 90.00°, β = 90.00° and γ = 90.00°. The inequivalent atoms are La at (0.000, 0.000, 0.000), Ta at (0.000, 0.000, 0.547), Ta at (0.500, 0.500, 0.323) and Tc at (0.500, 0.500, 0.720).

***

No. 9
Entry from Alexandria via LeMat-Bulk: crystalline LaTaTc2 at its relaxed geometry (PBE-GGA).

The calculation puts the density of states at the Fermi level at 0.919 states/eV per atom. The mass density is 10.65 g cm⁻³. The calculation puts the formation energy at 0.2097 eV/atom. Its crystal system is monoclinic.

It has space group P2/m (No. 10), with a = 3.029 Å, b = 4.177 Å, c = 6.404 Å, α = 90.00°, β = 96.76° and γ = 90.00°. The inequivalent atoms are La at (0.000, 0.000, 0.000), Ta at (0.500, 0.000, 0.500) and Tc at (0.231, 0.500, 0.686).

***

No. 10
Entry from Alexandria via LeMat-Bulk: crystalline LaTa2Tc at its relaxed geometry (PBE-GGA).

The calculation puts the density of states at the Fermi level at 1.039 states/eV per atom. The mass density is 12.42 g cm⁻³. The calculation puts the formation energy at 0.6017 eV/atom. Its crystal system is orthorhombic.

It has space group Cmmm (No. 65), with a = 5.482 Å, b = 10.150 Å, c = 2.877 Å, α = 90.00°, β = 90.00° and γ = 90.00°. The inequivalent atoms are La at (0.000, 0.000, 0.000), Ta at (0.250, 0.250, 0.500) and Tc at (0.000, 0.500, 0.000).

***

No. 11
Entry from Alexandria via LeMat-Bulk: crystalline La2TaTc at its relaxed geometry (PBE-GGA).

The calculation puts the density of states at the Fermi level at 1.227 states/eV per atom. The mass density is 8.05 g cm⁻³. The calculation puts the formation energy at 0.2771 eV/atom. Its crystal system is monoclinic.

It has space group C2/m (No. 12), with a = 17.355 Å, b = 3.355 Å, c = 4.056 Å, α = 90.00°, β = 103.42° and γ = 90.00°. The inequivalent atoms are La at (0.152, 0.000, 0.150), Ta at (0.000, 0.000, 0.500) and Tc at (0.000, 0.500, 0.000).

***

No. 12
Entry from Alexandria via LeMat-Bulk: crystalline La2TaTc at its relaxed geometry (PBE-GGA).

The calculation puts the density of states at the Fermi level at 0.648 states/eV per atom. The mass density is 9.49 g cm⁻³. The calculation puts the formation energy at 0.3199 eV/atom. Its crystal system is trigonal.

It has space group R3m (No. 160, hexagonal axes), with a = 3.3974 Å, b = 3.3974 Å, c = 29.2291 Å, α = 90.00°, β = 90.00° and γ = 120.00°. The inequivalent atoms are La at (0.0000, 0.0000, 0.0000), La at (0.0000, 0.0000, 0.2343), Ta at (0.0000, 0.0000, 0.7624) and Tc at (0.0000, 0.0000, 0.4857).